# 1
This record from the Alexandria database describes a relaxed structure of Cr3Pb5. The functional is PBE-GGA.

a = 9.0382 Å, b = 8.2012 Å, c = 9.0582 Å
α = 95.94°, β = 104.44°, γ = 137.28°
Site moments in Bohr magnetons follow the coordinates.
Sites, in units of the cell vectors:
Pb 0.2183 0.3511 0.6867  -0.04
Pb 0.7780 0.6450 0.3112  -0.04
Pb 0.8277 0.1409 0.8676  -0.05
Pb 0.8820 0.7373 0.7256  -0.06
Pb 0.7496 0.2529 0.5005  -0.04
Pb 0.1173 0.2615 0.2749  -0.06
Pb 0.4868 0.7614 0.1466  -0.06
Pb 0.5129 0.2399 0.8561  -0.06
Pb 0.2511 0.7486 0.5000  -0.04
Pb 0.1718 0.8609 0.1317  -0.04
Cr 0.3671 0.2049 0.4899  3.69
Cr 0.6323 0.7948 0.5110  3.69
Cr 0.7776 0.2876 0.1616  3.68
Cr 0.7316 0.7493 0.9832  3.53
Cr 0.2257 0.7131 0.8388  3.69
Cr 0.2636 0.2507 0.0146  3.53

E_tot = -5.4202 eV per atom

=====

# 2
This record from the Alexandria database describes a relaxed structure of CrPb5. The functional is PBE-GGA.

a = 6.4605 Å, b = 6.4605 Å, c = 6.4605 Å
α = 60.00°, β = 60.00°, γ = 60.00°
Site moments in Bohr magnetons follow the coordinates.
Sites, in units of the cell vectors:
Pb 0.2500 0.2500 0.2500  -0.03
Pb 0.6254 0.6254 0.1237  -0.04
Pb 0.6254 0.6254 0.6254  -0.04
Pb 0.6254 0.1237 0.6254  -0.04
Pb 0.1237 0.6254 0.6254  -0.04
Cr 0.0000 0.0000 0.0000  4.13

E_tot = -4.2124 eV per atom

=====

E_tot of number 1 (Cr3Pb5)? -5.4202 eV per atom

=====

Please write out number 2 again, unchanged.
This record from the Alexandria database describes a relaxed structure of CrPb5. The functional is PBE-GGA.

a = 6.4605 Å, b = 6.4605 Å, c = 6.4605 Å
α = 60.00°, β = 60.00°, γ = 60.00°
Site moments in Bohr magnetons follow the coordinates.
Sites, in units of the cell vectors:
Pb 0.2500 0.2500 0.2500  -0.03
Pb 0.6254 0.6254 0.1237  -0.04
Pb 0.6254 0.6254 0.6254  -0.04
Pb 0.6254 0.1237 0.6254  -0.04
Pb 0.1237 0.6254 0.6254  -0.04
Cr 0.0000 0.0000 0.0000  4.13

E_tot = -4.2124 eV per atom

=====

Number 1 is which compound? Cr3Pb5